Record 1
Computed, not measured: InFeRu2N after structural relaxation at the PBE level of DFT.

Values from the calculation:
**Raw formation energy**: 0.0755 eV per atom
**Volume**: 66 Å³ per cell
**SG**: P4/mmm (123)
**DOS at the Fermi energy**: 4.9 states/eV per cell

Geometry as CIF:
```
data_InFeRu2N
_chemical_formula_sum 'In1 Fe1 Ru2 N1'
_space_group_name_H-M_alt 'P 1'
_space_group_IT_number 1
_cell_length_a 4.125
_cell_length_b 4.125
_cell_length_c 3.884
_cell_angle_alpha 90.00
_cell_angle_beta 90.00
_cell_angle_gamma 90.00
loop_
_space_group_symop_operation_xyz
'x,y,z'
loop_
_atom_site_label
_atom_site_type_symbol
_atom_site_fract_x
_atom_site_fract_y
_atom_site_fract_z
_atom_site_occupancy
Ru1 Ru 0.500 0.000 0.000 1
Ru2 Ru 0.000 0.500 0.000 1
N1 N 0.000 0.000 0.000 1
Fe1 Fe 0.000 0.000 0.500 1
In1 In 0.500 0.500 0.500 1
```


Record 2
Computed, not measured: AgGe2Pd after structural relaxation at the PBE level of DFT.

Values from the calculation:
**Energy above the lowest structure with this stoichiometry**: 0.33 kcal/mol of atoms
**Volume**: 70 Å³ per cell
**Energy of formation**: -41 meV/atom
**SG**: P4/mmm (123)
**DOS at the Fermi energy**: 1.7 states/eV per cell

Geometry as CIF:
```
data_AgGe2Pd
_chemical_formula_sum 'Ag1 Ge2 Pd1'
_space_group_name_H-M_alt 'P 1'
_space_group_IT_number 1
_cell_length_a 3.204
_cell_length_b 3.204
_cell_length_c 6.832
_cell_angle_alpha 90.00
_cell_angle_beta 90.00
_cell_angle_gamma 90.00
loop_
_space_group_symop_operation_xyz
'x,y,z'
loop_
_atom_site_label
_atom_site_type_symbol
_atom_site_fract_x
_atom_site_fract_y
_atom_site_fract_z
_atom_site_occupancy
Pd1 Pd 0.500 0.500 0.000 1
Ge1 Ge 0.000 0.000 0.222 1
Ge2 Ge 0.000 0.000 0.778 1
Ag1 Ag 0.500 0.500 0.500 1
```


Record 3
Computed, not measured: HoZrAlTc after structural relaxation at the PBE level of DFT.

Values from the calculation:
**Volume**: 80 Å³ per cell
**Energy of formation**: -259 meV/atom
**SG**: F-43m (216)
**DOS at the Fermi energy**: 1.9 states/eV per cell

Geometry as CIF:
```
data_HoZrAlTc
_chemical_formula_sum 'Ho1 Zr1 Al1 Tc1'
_space_group_name_H-M_alt 'P 1'
_space_group_IT_number 1
_cell_length_a 4.833
_cell_length_b 4.833
_cell_length_c 4.833
_cell_angle_alpha 60.00
_cell_angle_beta 60.00
_cell_angle_gamma 60.00
loop_
_space_group_symop_operation_xyz
'x,y,z'
loop_
_atom_site_label
_atom_site_type_symbol
_atom_site_fract_x
_atom_site_fract_y
_atom_site_fract_z
_atom_site_occupancy
Tc1 Tc 0.250 0.250 0.250 1
Al1 Al 0.750 0.750 0.750 1
Ho1 Ho 0.500 0.500 0.500 1
Zr1 Zr 0.000 0.000 0.000 1
```


Record 4
Computed, not measured: BiPtRhN2 after structural relaxation at the PBE level of DFT.

Values from the calculation:
**Raw formation energy**: 1.2515 eV per atom
**Volume**: 100 Å³ per cell
**SG**: P4/mmm (123)
**DOS at the Fermi energy**: 2.8 states/eV per cell

Geometry as CIF:
```
data_BiPtRhN2
_chemical_formula_sum 'Bi1 Pt1 Rh1 N2'
_space_group_name_H-M_alt 'P 1'
_space_group_IT_number 1
_cell_length_a 3.772
_cell_length_b 7.048
_cell_length_c 3.772
_cell_angle_alpha 90.00
_cell_angle_beta 90.00
_cell_angle_gamma 90.00
loop_
_space_group_symop_operation_xyz
'x,y,z'
loop_
_atom_site_label
_atom_site_type_symbol
_atom_site_fract_x
_atom_site_fract_y
_atom_site_fract_z
_atom_site_occupancy
Pt1 Pt 0.000 0.000 0.000 1
Rh1 Rh 0.500 0.500 0.500 1
N1 N 0.000 0.000 0.500 1
N2 N 0.500 0.000 0.000 1
Bi1 Bi 0.000 0.500 0.000 1
```


Record 5
Computed, not measured: Ba2Tl2In after structural relaxation at the PBE level of DFT.

Values from the calculation:
**Energy above the lowest structure with this stoichiometry**: 2.31 kcal/mol of atoms
**Volume**: 378 Å³ per cell
**Energy of formation**: -308 meV/atom
**SG**: P4/mbm (127)
**DOS at the Fermi energy**: 9.9 states/eV per cell

Geometry as CIF:
```
data_Ba2Tl2In
_chemical_formula_sum 'Ba4 Tl4 In2'
_space_group_name_H-M_alt 'P 1'
_space_group_IT_number 1
_cell_length_a 8.268
_cell_length_b 8.268
_cell_length_c 5.525
_cell_angle_alpha 90.00
_cell_angle_beta 90.00
_cell_angle_gamma 90.00
loop_
_space_group_symop_operation_xyz
'x,y,z'
loop_
_atom_site_label
_atom_site_type_symbol
_atom_site_fract_x
_atom_site_fract_y
_atom_site_fract_z
_atom_site_occupancy
Tl1 Tl 0.866 0.634 0.000 1
Tl2 Tl 0.366 0.866 0.000 1
Tl3 Tl 0.634 0.134 0.000 1
Tl4 Tl 0.134 0.366 0.000 1
Ba1 Ba 0.175 0.675 0.500 1
Ba2 Ba 0.675 0.825 0.500 1
Ba3 Ba 0.825 0.325 0.500 1
Ba4 Ba 0.325 0.175 0.500 1
In1 In 0.000 0.000 0.000 1
In2 In 0.500 0.500 0.000 1
```


Record 6
Computed, not measured: CaMg2Rh3O8 after structural relaxation at the PBE level of DFT.

Values from the calculation:
**Raw formation energy**: -1.6052 eV per atom
**Volume**: 169 Å³ per cell
**SG**: R3m (160)
**DOS at the Fermi energy**: 7.8 states/eV per cell

Geometry as CIF:
```
data_CaMg2Rh3O8
_chemical_formula_sum 'Ca1 Mg2 Rh3 O8'
_space_group_name_H-M_alt 'P 1'
_space_group_IT_number 1
_cell_length_a 6.290
_cell_length_b 6.290
_cell_length_c 6.130
_cell_angle_alpha 59.13
_cell_angle_beta 59.13
_cell_angle_gamma 60.00
loop_
_space_group_symop_operation_xyz
'x,y,z'
loop_
_atom_site_label
_atom_site_type_symbol
_atom_site_fract_x
_atom_site_fract_y
_atom_site_fract_z
_atom_site_occupancy
Rh1 Rh 0.500 0.500 0.002 1
Rh2 Rh 0.998 0.500 0.002 1
Rh3 Rh 0.500 0.998 0.002 1
Mg1 Mg 0.120 0.120 0.641 1
Mg2 Mg 0.497 0.497 0.509 1
O1 O 0.733 0.733 0.802 1
O2 O 0.260 0.260 0.219 1
O3 O 0.719 0.255 0.771 1
O4 O 0.304 0.735 0.226 1
O5 O 0.255 0.719 0.771 1
O6 O 0.255 0.255 0.771 1
O7 O 0.735 0.735 0.226 1
O8 O 0.735 0.304 0.226 1
Ca1 Ca 0.882 0.882 0.355 1
```